Record 1
Here is InGe2IrS after structural relaxation from the Alexandria database. Energies are from PBE.

Properties
Its total magnetic moment is 0.00 μB/f.u. As for the space group: P4/mmm (123). The total energy comes out at -4.742 eV per atom. The formation energy (no corrections) is 251 meV per atom.

Geometry as POSCAR:
```
InGe2IrS
1.0
4.705 0.000 0.000
0.000 5.322 0.000
0.000 0.000 4.705
Ir S Ge In
1 1 2 1
Direct
0.000 0.000 0.000
0.000 0.500 0.000
0.000 0.000 0.500
0.500 0.000 0.000
0.500 0.500 0.500
```

***

Record 2
Here is Sr2Ag2Pd after structural relaxation from the Alexandria database. Energies are from PBE.

Properties
For the energy above the most stable polymorph in this dataset, the calculation gives 0 meV/atom. Its total magnetic moment is 0.00 μB/f.u. As for the space group: C2/m (12). The total energy comes out at -3.239 eV per atom. The value obtained for the energy of formation from the pure elements is -8.94 kcal/mol of atoms.

Geometry as POSCAR:
```
Sr2Ag2Pd
1.0
-3.445 2.741 -1.251
-4.997 -0.911 3.391
1.915 8.937 5.936
Ag Sr Pd
4 4 2
Direct
0.085 0.271 0.558
0.631 0.849 0.889
0.915 0.729 0.442
0.369 0.151 0.111
0.677 0.300 0.346
0.073 0.730 0.125
0.927 0.270 0.875
0.323 0.700 0.654
0.613 0.103 0.671
0.387 0.897 0.329
```

***

Record 3
Here is Sc2MnTc after structural relaxation from the Alexandria database. Energies are from PBE.

Properties
Its total magnetic moment is 3.71 μB/f.u. As for the space group: P4/mmm (123). The total energy comes out at -8.092 eV per atom. The value obtained for the energy of formation from the pure elements is -0.98 kcal/mol of atoms.

Geometry as POSCAR:
```
Sc2MnTc
1.0
3.352 0.000 0.000
0.000 3.351 0.000
0.000 0.000 6.325
Sc Tc Mn
2 1 1
Direct
0.000 0.000 0.487
0.000 0.000 0.013
0.500 0.500 0.250
0.500 0.500 0.750
```

***

Record 4
Here is TbScRuRh after structural relaxation from the Alexandria database. Energies are from PBE.

Properties
For the energy above the most stable polymorph in this dataset, the calculation gives 9 meV/atom. Its total magnetic moment is 0.00 μB/f.u. As for the space group: F-43m (216). The total energy comes out at -7.572 eV per atom. The value obtained for the energy of formation from the pure elements is -15.56 kcal/mol of atoms.

Geometry as POSCAR:
```
TbScRuRh
1.0
4.701 0.000 0.000
2.350 4.071 0.000
2.350 1.357 3.838
Ru Sc Tb Rh
1 1 1 1
Direct
0.750 0.750 0.750
0.000 0.000 0.000
0.500 0.500 0.500
0.250 0.250 0.250
```

***

Record 5
Here is Ti2TcNi after structural relaxation from the Alexandria database. Energies are from PBE.

Properties
For the energy above the most stable polymorph in this dataset, the calculation gives 0 meV/atom. Its total magnetic moment is 0.00 μB/f.u. As for the space group: P4/mmm (123). The total energy comes out at -8.481 eV per atom. The value obtained for the energy of formation from the pure elements is -11.46 kcal/mol of atoms.

Geometry as POSCAR:
```
Ti2TcNi
1.0
3.114 0.000 0.000
0.000 3.114 0.000
0.000 0.000 5.920
Tc Ti Ni
1 2 1
Direct
0.500 0.500 0.000
0.000 0.000 0.750
0.000 0.000 0.250
0.500 0.500 0.500
```

***

Record 6
Here is K2HfAgSe after structural relaxation from the Alexandria database. Energies are from PBE.

Properties
Its total magnetic moment is 1.00 μB/f.u. As for the space group: P4/mmm (123). The total energy comes out at -3.355 eV per atom. The formation energy (no corrections) is 341 meV per atom.

Geometry as POSCAR:
```
K2HfAgSe
1.0
7.236 0.000 0.000
0.000 5.009 0.000
0.000 0.000 7.236
K Hf Ag Se
2 1 1 1
Direct
0.000 0.000 0.500
0.500 0.000 0.000
0.000 0.000 0.000
0.500 0.500 0.500
0.000 0.500 0.000
```

***

Record 7
Here is NpNi6H12 after structural relaxation from the Alexandria database. Energies are from PBE.

Properties
For the energy above the most stable polymorph in this dataset, the calculation gives 68 meV/atom. Its total magnetic moment is 4.08 μB/f.u. As for the space group: R-3m (166). The total energy comes out at -4.553 eV per atom.

Geometry as POSCAR:
```
NpNi6H12
1.0
-4.659 1.606 -2.101
-0.983 -1.224 5.122
3.205 4.293 0.050
H Ni Np
12 6 1
Direct
0.193 0.445 0.445
0.445 0.445 0.193
0.873 0.500 0.127
0.873 0.127 0.500
0.445 0.193 0.445
0.127 0.500 0.873
0.555 0.555 0.807
0.500 0.127 0.873
0.500 0.873 0.127
0.555 0.807 0.555
0.127 0.873 0.500
0.807 0.555 0.555
0.623 0.228 0.228
0.228 0.228 0.623
0.228 0.623 0.228
0.377 0.772 0.772
0.772 0.772 0.377
0.772 0.377 0.772
0.000 0.000 0.000
```

***

Record 8
Here is CeTmF2 after structural relaxation from the Alexandria database. Energies are from PBE.

Properties
Its total magnetic moment is 1.08 μB/f.u. As for the space group: R-3m (166). The total energy comes out at -5.877 eV per atom. The formation energy (no corrections) is -2340 meV per atom.

Geometry as POSCAR:
```
CeTmF2
1.0
-1.664 -1.540 2.595
-0.658 -3.379 -0.140
6.107 -3.126 4.350
F Tm Ce
2 1 1
Direct
0.908 0.908 0.275
0.092 0.092 0.725
0.000 0.000 0.000
0.500 0.500 0.500
```

***

Record 9
Here is ThPaCo4 after structural relaxation from the Alexandria database. Energies are from PBE.

Properties
Its total magnetic moment is 0.00 μB/f.u. As for the space group: F-43m (216). The total energy comes out at -7.837 eV per atom. The value obtained for the energy of formation from the pure elements is -6.47 kcal/mol of atoms.

Geometry as POSCAR:
```
ThPaCo4
1.0
5.035 0.000 0.000
2.517 4.360 0.000
2.517 1.453 4.111
Co Th Pa
4 1 1
Direct
0.626 0.626 0.626
0.123 0.626 0.626
0.626 0.123 0.626
0.626 0.626 0.123
0.250 0.250 0.250
0.000 0.000 0.000
```

***

Record 10
Here is ScAu2Se after structural relaxation from the Alexandria database. Energies are from PBE.

Properties
Its total magnetic moment is 0.00 μB/f.u. As for the space group: P4mm (99). The total energy comes out at -4.755 eV per atom. The formation energy (no corrections) is -662 meV per atom.

Geometry as POSCAR:
```
ScAu2Se
1.0
3.596 0.000 0.000
0.000 3.595 0.000
0.000 0.000 6.420
Sc Se Au
1 1 2
Direct
0.000 0.000 0.513
0.500 0.500 0.679
0.500 0.500 0.242
0.000 0.000 0.065
```

***

Record 11
Here is Zr2TlMoOs after structural relaxation from the Alexandria database. Energies are from PBE.

Properties
Its total magnetic moment is 0.00 μB/f.u. As for the space group: P4/mmm (123). The total energy comes out at -7.412 eV per atom. The value obtained for the energy of formation from the pure elements is 20.59 kcal/mol of atoms.

Geometry as POSCAR:
```
Zr2TlMoOs
1.0
5.094 0.000 0.000
0.000 4.687 0.000
0.000 0.000 5.094
Zr Mo Os Tl
2 1 1 1
Direct
0.500 0.000 0.000
0.000 0.000 0.500
0.000 0.000 0.000
0.000 0.500 0.000
0.500 0.500 0.500
```

***

Record 12
Here is MnReP2 after structural relaxation from the Alexandria database. Energies are from PBE.

Properties
For the energy above the most stable polymorph in this dataset, the calculation gives 513 meV/atom. Its total magnetic moment is 2.52 μB/f.u. As for the space group: Pmmm (47). The total energy comes out at -7.860 eV per atom. The value obtained for the energy of formation from the pure elements is 5.74 kcal/mol of atoms.

Geometry as POSCAR:
```
MnReP2
1.0
-0.025 -2.601 -1.635
-2.451 -2.171 3.490
-3.176 1.029 -1.590
P Re Mn
2 1 1
Direct
0.500 0.500 0.000
0.000 0.000 0.000
0.500 0.000 0.500
0.000 0.500 0.500
```